Entry from Alexandria via LeMat-Bulk: SrBrF2 after structural relaxation (PBE-GGA). Values from VASP.

Cell and atoms, written as Quantum ESPRESSO input:
```
&SYSTEM
  ibrav = 0, nat = 4, ntyp = 3
/
ATOMIC_SPECIES
Sr 87.62 Sr.upf
Br 79.90 Br.upf
F 19.00 F.upf
CELL_PARAMETERS angstrom
0.000 3.305 3.305
3.305 0.000 3.305
3.305 3.305 0.000
ATOMIC_POSITIONS crystal
Sr 0.500 0.500 0.500
Br 0.000 0.000 0.000
F 0.250 0.250 0.250
F 0.750 0.750 0.750
```

## Properties
The calculation puts the energy relative to the lowest polymorph listed for this composition at 308 meV/atom. The energy relative to the elements, uncorrected is -219.5 kJ per mole of atoms. The calculation puts the density at 4.72 Mg/m³.